(1)
{
  "formula": "CuAsCl",
  "functional": "PBE-GGA",
  "state": "optimized geometry",
  "cell": [[7.533, 0.007, -0.005], [6.354, 3.180, -0.077], [1.180, -1.471, 2.812]],
  "species": ["Cl", "Cu", "As"],
  "frac_coords": [[0.286, 0.286, 0.714], [0.671, 0.671, 0.329], [0.043, 0.043, 0.957]],
  "crystal_system": "orthorhombic",
  "dft_energy_ev_per_atom": -3.5338
}

(2)
{
  "formula": "Cu2AsCl8",
  "functional": "PBE-GGA",
  "state": "optimized geometry",
  "cell": [[6.149, -0.633, -0.442], [0.304, 7.649, 0.528], [0.304, 3.128, 7.001]],
  "species": ["Cl", "Cl", "Cl", "Cl", "Cl", "Cl", "Cl", "Cl", "As", "Cu", "Cu"],
  "frac_coords": [[0.803, 0.880, 0.295], [0.595, 0.340, 0.340], [0.270, 0.135, 0.135], [0.730, 0.865, 0.865], [0.197, 0.705, 0.120], [0.803, 0.295, 0.880], [0.405, 0.660, 0.660], [0.197, 0.120, 0.705], [0.000, 0.000, 0.000], [0.651, 0.183, 0.183], [0.349, 0.817, 0.817]],
  "crystal_system": "monoclinic",
  "dft_energy_ev_per_atom": -2.9148
}

(3)
{
  "formula": "CuAsCl",
  "functional": "PBE-GGA",
  "state": "optimized geometry",
  "cell": [[-2.403, 4.587, -2.554], [-5.050, 0.371, -2.774], [2.801, -1.580, 4.795]],
  "species": ["As", "Cu", "Cl"],
  "frac_coords": [[0.895, 0.895, 0.000], [0.431, 0.431, 0.000], [0.674, 0.674, 0.000]],
  "crystal_system": "orthorhombic",
  "dft_energy_ev_per_atom": -3.5966
}

(4)
{
  "formula": "CuAsCl",
  "functional": "PBE-GGA",
  "state": "optimized geometry",
  "cell": [[-4.331, 3.570, -2.830], [-2.095, 1.292, -5.784], [1.772, -4.052, 4.467]],
  "species": ["Cl", "Cu", "As"],
  "frac_coords": [[0.296, 0.296, 0.000], [0.666, 0.666, 0.000], [0.038, 0.038, 0.000]],
  "crystal_system": "tetragonal",
  "dft_energy_ev_per_atom": -3.4025
}

(5)
{
  "formula": "K2CuAsCl6",
  "functional": "PBE-GGA",
  "state": "optimized geometry",
  "cell": [[-5.772, 2.366, -3.214], [-0.067, -4.164, -5.956], [-0.084, -2.924, 7.226]],
  "species": ["Cu", "Cl", "Cl", "Cl", "Cl", "Cl", "Cl", "K", "K", "As"],
  "frac_coords": [[0.487, 0.475, 0.092], [0.240, 0.687, 0.936], [0.279, 0.227, 0.415], [0.675, 0.721, 0.507], [0.807, 0.870, 0.086], [0.771, 0.332, 0.009], [0.229, 0.174, 0.904], [0.207, 0.715, 0.483], [0.797, 0.298, 0.563], [0.006, 0.005, 0.003]],
  "crystal_system": "triclinic",
  "dft_energy_ev_per_atom": -3.3482
}

(6)
{
  "formula": "KCuAs2Cl",
  "functional": "PBE-GGA",
  "state": "optimized geometry",
  "cell": [[-6.421, 0.459, -0.065], [-0.177, -3.153, -4.720], [-0.417, -5.335, 3.579]],
  "species": ["K", "As", "As", "Cu", "Cl"],
  "frac_coords": [[0.000, 0.000, 0.000], [0.000, 0.000, 0.500], [0.500, 0.000, 0.000], [0.500, 0.500, 0.500], [0.000, 0.500, 0.000]],
  "crystal_system": "tetragonal",
  "dft_energy_ev_per_atom": -2.0973
}

(7)
{
  "formula": "CuAsCl2O",
  "functional": "PBE-GGA",
  "state": "optimized geometry",
  "cell": [[4.520, 0.000, 0.000], [0.000, 4.976, 0.000], [0.000, 0.000, 4.520]],
  "species": ["Cl", "Cl", "Cu", "O", "As"],
  "frac_coords": [[0.500, 0.000, 0.000], [0.000, 0.000, 0.500], [0.000, 0.000, 0.000], [0.500, 0.500, 0.500], [0.000, 0.500, 0.000]],
  "crystal_system": "tetragonal",
  "dft_energy_ev_per_atom": -2.8800
}

(8)
{
  "formula": "Cu2AsClO4",
  "functional": "PBE-GGA",
  "state": "optimized geometry",
  "cell": [[6.767, 0.000, 0.000], [0.000, 5.371, 0.047], [0.000, 0.312, 6.458]],
  "species": ["O", "O", "O", "O", "O", "O", "O", "O", "Cu", "Cu", "Cu", "Cu", "Cl", "Cl", "As", "As"],
  "frac_coords": [[0.457, 0.735, 0.220], [0.043, 0.735, 0.220], [0.250, 0.361, 0.466], [0.543, 0.265, 0.780], [0.957, 0.265, 0.780], [0.250, 0.317, 0.058], [0.750, 0.639, 0.534], [0.750, 0.683, 0.942], [0.500, 0.000, 0.000], [0.750, 0.613, 0.243], [0.250, 0.387, 0.757], [0.000, 0.000, 0.000], [0.250, 0.846, 0.784], [0.750, 0.154, 0.216], [0.750, 0.460, 0.757], [0.250, 0.540, 0.243]],
  "crystal_system": "monoclinic",
  "dft_energy_ev_per_atom": -5.0807
}

(9)
{
  "formula": "Cu4AsClO6",
  "functional": "PBE-GGA",
  "state": "optimized geometry",
  "cell": [[5.535, 0.000, 0.000], [0.000, 10.295, 0.000], [0.000, 0.000, 11.351]],
  "species": ["Cu", "Cu", "Cu", "Cu", "Cu", "Cu", "Cu", "Cu", "Cu", "Cu", "Cu", "Cu", "Cu", "Cu", "Cu", "Cu", "O", "O", "O", "O", "O", "O", "O", "O", "O", "O", "O", "O", "O", "O", "O", "O", "O", "O", "O", "O", "O", "O", "O", "O", "Cl", "Cl", "Cl", "Cl", "As", "As", "As", "As"],
  "frac_coords": [[0.044, 0.250, 0.644], [0.232, 0.042, 0.445], [0.768, 0.542, 0.555], [0.956, 0.750, 0.356], [0.852, 0.750, 0.087], [0.232, 0.542, 0.055], [0.232, 0.958, 0.055], [0.768, 0.458, 0.945], [0.044, 0.750, 0.856], [0.148, 0.750, 0.587], [0.232, 0.458, 0.445], [0.852, 0.250, 0.413], [0.148, 0.250, 0.913], [0.768, 0.042, 0.945], [0.956, 0.250, 0.144], [0.768, 0.958, 0.555], [0.133, 0.871, 0.725], [0.957, 0.119, 0.528], [0.957, 0.619, 0.972], [0.867, 0.629, 0.225], [0.494, 0.041, 0.626], [0.506, 0.541, 0.374], [0.043, 0.119, 0.028], [0.867, 0.129, 0.275], [0.494, 0.541, 0.874], [0.957, 0.881, 0.972], [0.133, 0.629, 0.725], [0.133, 0.371, 0.775], [0.867, 0.871, 0.225], [0.043, 0.881, 0.472], [0.957, 0.381, 0.528], [0.043, 0.381, 0.028], [0.494, 0.459, 0.626], [0.506, 0.959, 0.374], [0.133, 0.129, 0.775], [0.506, 0.459, 0.126], [0.043, 0.619, 0.472], [0.494, 0.959, 0.874], [0.867, 0.371, 0.275], [0.506, 0.041, 0.126], [0.619, 0.250, 0.906], [0.619, 0.750, 0.594], [0.381, 0.750, 0.094], [0.381, 0.250, 0.406], [0.333, 0.000, 0.750], [0.333, 0.500, 0.750], [0.667, 0.500, 0.250], [0.667, 0.000, 0.250]],
  "crystal_system": "orthorhombic",
  "dft_energy_ev_per_atom": -5.1221
}

(10)
{
  "formula": "CuAs2Pb8Cl5O9",
  "functional": "PBE-GGA",
  "state": "optimized geometry",
  "cell": [[-2.232, 0.477, -12.149], [-6.257, -9.143, 5.483], [-6.883, 3.228, 0.190]],
  "species": ["Pb", "Pb", "Pb", "Pb", "Pb", "Pb", "Pb", "Pb", "Pb", "Pb", "Pb", "Pb", "Pb", "Pb", "Pb", "Pb", "As", "As", "As", "As", "O", "O", "O", "O", "O", "O", "O", "O", "O", "O", "O", "O", "O", "O", "O", "O", "O", "O", "Cl", "Cl", "Cl", "Cl", "Cl", "Cl", "Cl", "Cl", "Cl", "Cl", "Cu", "Cu"],
  "frac_coords": [[0.052, 0.657, 0.576], [0.250, 0.444, 0.067], [0.556, 0.750, 0.933], [0.149, 0.149, 0.920], [0.948, 0.343, 0.424], [0.852, 0.852, 0.578], [0.343, 0.948, 0.424], [0.148, 0.148, 0.422], [0.359, 0.945, 0.926], [0.851, 0.851, 0.080], [0.055, 0.641, 0.074], [0.641, 0.055, 0.074], [0.444, 0.250, 0.067], [0.657, 0.052, 0.576], [0.750, 0.556, 0.933], [0.945, 0.359, 0.926], [0.214, 0.447, 0.580], [0.553, 0.786, 0.420], [0.786, 0.553, 0.420], [0.447, 0.214, 0.580], [0.524, 0.919, 0.403], [0.919, 0.524, 0.403], [0.828, 0.647, 0.193], [0.353, 0.172, 0.807], [0.653, 0.828, 0.571], [0.647, 0.828, 0.193], [0.476, 0.081, 0.597], [0.828, 0.653, 0.571], [0.081, 0.476, 0.597], [0.172, 0.347, 0.429], [0.758, 0.758, 0.876], [0.942, 0.555, 0.871], [0.445, 0.058, 0.129], [0.555, 0.942, 0.871], [0.347, 0.172, 0.429], [0.172, 0.353, 0.807], [0.058, 0.445, 0.129], [0.242, 0.242, 0.124], [0.063, 0.872, 0.774], [0.271, 0.697, 0.772], [0.128, 0.937, 0.226], [0.937, 0.128, 0.226], [0.499, 0.499, 0.742], [0.303, 0.729, 0.228], [0.501, 0.501, 0.258], [0.872, 0.063, 0.774], [0.729, 0.303, 0.228], [0.697, 0.271, 0.772], [0.577, 0.423, 0.500], [0.423, 0.577, 0.500]],
  "crystal_system": "monoclinic",
  "dft_energy_ev_per_atom": -5.0697
}

(11)
{
  "formula": "CuAs2Pb6Cl7O6",
  "functional": "PBE-GGA",
  "state": "optimized geometry",
  "cell": [[8.238, 0.046, 0.038], [2.095, 7.967, 0.038], [2.095, 1.625, 7.800]],
  "species": ["Pb", "Pb", "Pb", "Pb", "Pb", "Pb", "O", "O", "O", "O", "O", "O", "Cl", "Cl", "Cl", "Cl", "Cl", "Cl", "Cl", "As", "As", "Cu"],
  "frac_coords": [[0.360, 0.831, 0.131], [0.831, 0.131, 0.360], [0.158, 0.874, 0.632], [0.131, 0.360, 0.831], [0.874, 0.632, 0.158], [0.632, 0.158, 0.874], [0.360, 0.130, 0.064], [0.854, 0.948, 0.645], [0.948, 0.645, 0.854], [0.130, 0.064, 0.360], [0.645, 0.854, 0.948], [0.064, 0.360, 0.130], [0.387, 0.548, 0.828], [0.451, 0.153, 0.637], [0.637, 0.451, 0.153], [0.153, 0.637, 0.451], [0.828, 0.387, 0.548], [0.002, 0.002, 0.002], [0.548, 0.828, 0.387], [0.239, 0.239, 0.239], [0.764, 0.764, 0.764], [0.631, 0.631, 0.631]],
  "crystal_system": "trigonal",
  "dft_energy_ev_per_atom": -4.7302
}

(12)
{
  "formula": "CuAsPCl2",
  "functional": "PBE-GGA",
  "state": "optimized geometry",
  "cell": [[4.487, 0.000, 0.000], [0.000, 4.487, 0.000], [0.000, 0.000, 4.950]],
  "species": ["As", "Cu", "Cl", "Cl", "P"],
  "frac_coords": [[0.500, 0.500, 0.500], [0.000, 0.000, 0.000], [0.000, 0.500, 0.000], [0.500, 0.000, 0.000], [0.000, 0.000, 0.500]],
  "crystal_system": "tetragonal",
  "dft_energy_ev_per_atom": -3.1107
}